Entry 1:
# GGA-PBE Pr5Ho2In5, optimized geometry
# Space-group type = C2/m (12)
# Formation enthalpy at 0 K = -7.2 kcal/mol of atoms
# Mass density = 7.39 g/cm3
# DOS(E_F) = 12.66 states/eV per cell
# Total magnetic moment = 0.00 μB/f.u.
data_Pr5Ho2In5
_chemical_formula_sum 'Pr5 Ho2 In5'
_symmetry_space_group_name_H-M 'P 1'
_symmetry_Int_Tables_number 1
_symmetry_space_group_name_Hall 'P 1'
_cell_length_a 5.301
_cell_length_b 6.467
_cell_length_c 12.284
_cell_angle_alpha 107.92
_cell_angle_beta 90.00
_cell_angle_gamma 114.20
loop_
_atom_site_label
_atom_site_type_symbol
_atom_site_fract_x
_atom_site_fract_y
_atom_site_fract_z
Pr1 Pr 0.500 0.000 0.500
Pr2 Pr 0.657 0.313 0.999
Pr3 Pr 0.638 0.275 0.273
Pr4 Pr 0.362 0.725 0.727
Pr5 Pr 0.343 0.687 0.001
Ho1 Ho 0.069 0.138 0.758
Ho2 Ho 0.931 0.862 0.242
In1 In 0.173 0.346 0.459
In2 In 0.723 0.447 0.766
In3 In 0.277 0.553 0.234
In4 In 0.827 0.654 0.541
In5 In 0.000 0.000 0.000

=====

Entry 2:
# GGA-PBE AsPb3Cl, optimized geometry
# Space-group type = Pm-3m (221)
# Formation energy without anion corrections = 191 meV per atom
# Mass density = 6.50 g/cm3
# DOS(E_F) = 3.54 states/eV per cell
# Total magnetic moment = 0.00 μB/f.u.
data_AsPb3Cl
_chemical_formula_sum 'As1 Pb3 Cl1'
_symmetry_space_group_name_H-M 'P 1'
_symmetry_Int_Tables_number 1
_symmetry_space_group_name_Hall 'P 1'
_cell_length_a 5.720
_cell_length_b 5.720
_cell_length_c 5.720
_cell_angle_alpha 90.00
_cell_angle_beta 90.00
_cell_angle_gamma 90.00
loop_
_atom_site_label
_atom_site_type_symbol
_atom_site_fract_x
_atom_site_fract_y
_atom_site_fract_z
Pb1 Pb 0.000 0.500 0.000
Pb2 Pb 0.000 0.000 0.500
Pb3 Pb 0.500 0.000 0.000
As1 As 0.000 0.000 0.000
Cl1 Cl 0.500 0.500 0.500

=====

Entry 3:
# GGA-PBE ScCoAu3, optimized geometry
# Space-group type = Pm-3m (221)
# Formation enthalpy at 0 K = 7.4 kcal/mol of atoms
# Mass density = 10.74 g/cm3
# DOS(E_F) = 8.77 states/eV per cell
# Total magnetic moment = 1.71 μB/f.u.
data_ScCoAu3
_chemical_formula_sum 'Sc1 Co1 Au3'
_symmetry_space_group_name_H-M 'P 1'
_symmetry_Int_Tables_number 1
_symmetry_space_group_name_Hall 'P 1'
_cell_length_a 4.753
_cell_length_b 4.753
_cell_length_c 4.753
_cell_angle_alpha 90.00
_cell_angle_beta 90.00
_cell_angle_gamma 90.00
loop_
_atom_site_label
_atom_site_type_symbol
_atom_site_fract_x
_atom_site_fract_y
_atom_site_fract_z
Sc1 Sc 0.500 0.500 0.500
Co1 Co 0.000 0.000 0.000
Au1 Au 0.000 0.500 0.000
Au2 Au 0.000 0.000 0.500
Au3 Au 0.500 0.000 0.000

=====

Entry 4:
# GGA-PBE Er2ZnTc, optimized geometry
# Space-group type = Fm-3m (225)
# Formation enthalpy at 0 K = -4.1 kcal/mol of atoms
# Mass density = 10.05 g/cm3
# DOS(E_F) = 2.76 states/eV per cell
# Total magnetic moment = 0.00 μB/f.u.
data_Er2ZnTc
_chemical_formula_sum 'Er2 Zn1 Tc1'
_symmetry_space_group_name_H-M 'P 1'
_symmetry_Int_Tables_number 1
_symmetry_space_group_name_Hall 'P 1'
_cell_length_a 4.882
_cell_length_b 4.882
_cell_length_c 4.882
_cell_angle_alpha 60.00
_cell_angle_beta 60.00
_cell_angle_gamma 60.00
loop_
_atom_site_label
_atom_site_type_symbol
_atom_site_fract_x
_atom_site_fract_y
_atom_site_fract_z
Zn1 Zn 0.000 0.000 0.000
Tc1 Tc 0.500 0.500 0.500
Er1 Er 0.250 0.250 0.250
Er2 Er 0.750 0.750 0.750

=====

total magnetic moment of number 3 (ScCoAu3)?
1.71 μB/f.u.

=====

Look up the total magnetic moment of the fourth one.
0.00 μB/f.u.

=====

Copy entry 3 word for word.
# GGA-PBE ScCoAu3, optimized geometry
# Space-group type = Pm-3m (221)
# Formation enthalpy at 0 K = 7.4 kcal/mol of atoms
# Mass density = 10.74 g/cm3
# DOS(E_F) = 8.77 states/eV per cell
# Total magnetic moment = 1.71 μB/f.u.
data_ScCoAu3
_chemical_formula_sum 'Sc1 Co1 Au3'
_symmetry_space_group_name_H-M 'P 1'
_symmetry_Int_Tables_number 1
_symmetry_space_group_name_Hall 'P 1'
_cell_length_a 4.753
_cell_length_b 4.753
_cell_length_c 4.753
_cell_angle_alpha 90.00
_cell_angle_beta 90.00
_cell_angle_gamma 90.00
loop_
_atom_site_label
_atom_site_type_symbol
_atom_site_fract_x
_atom_site_fract_y
_atom_site_fract_z
Sc1 Sc 0.500 0.500 0.500
Co1 Co 0.000 0.000 0.000
Au1 Au 0.000 0.500 0.000
Au2 Au 0.000 0.000 0.500
Au3 Au 0.500 0.000 0.000